Entry 1:
This record from Alexandria describes an optimized crystal structure of CaPrTl. The functional is PBE-GGA.

It has space group I4mm (No. 107), with a = 3.761 Å, b = 3.761 Å, c = 14.161 Å, α = 90.00°, β = 90.00° and γ = 90.00°. The asymmetric unit holds Ca at (0.000, 0.000, 0.000), Pr at (0.000, 0.000, 0.710) and Tl at (0.000, 0.000, 0.356).

The calculation puts the magnetization at 0.0 μB/cell. As for the crystal system: tetragonal. The density of states at the Fermi level is 3.018 states/eV/f.u. The formation energy comes out at -70.6 kJ/mol of formula units.



Entry 2:
This record from Alexandria describes an optimized crystal structure of CaPr2Tl. The functional is PBE-GGA.

It has space group P4/mmm (No. 123), with a = 5.062 Å, b = 5.062 Å, c = 5.022 Å, α = 90.00°, β = 90.00° and γ = 90.00°. The asymmetric unit holds Ca at (0.000, 0.000, 0.000), Pr at (0.000, 0.500, 0.500) and Tl at (0.500, 0.500, 0.000).

The calculation puts the magnetization at 0.0 μB/cell. As for the crystal system: tetragonal. The density of states at the Fermi level is 4.361 states/eV/f.u. The formation energy comes out at -71.9 kJ/mol of formula units.



Entry 3:
This record from Alexandria describes an optimized crystal structure of CaPr3Tl4. The functional is PBE-GGA.

It has space group P4/mmm (No. 123), with a = 3.912 Å, b = 3.912 Å, c = 15.773 Å, α = 90.00°, β = 90.00° and γ = 90.00°. The asymmetric unit holds Ca at (0.000, 0.000, 0.000), Pr at (0.000, 0.000, 0.246), Pr at (0.000, 0.000, 0.500), Tl at (0.500, 0.500, 0.121) and Tl at (0.500, 0.500, 0.375).

The calculation puts the magnetization at 0.0 μB/cell. As for the crystal system: tetragonal. The density of states at the Fermi level is 5.581 states/eV/f.u. The formation energy comes out at -311.3 kJ/mol of formula units.



Entry 4:
This record from Alexandria describes an optimized crystal structure of CaPr5Tl3. The functional is PBE-GGA.

It has space group P6_3/mcm (No. 193), with a = 9.7131 Å, b = 9.7131 Å, c = 6.9851 Å, α = 90.00°, β = 90.00° and γ = 120.00°. The asymmetric unit holds Ca at (0.0000, 0.0000, 0.0000), Pr at (0.0000, 0.3365, 0.2500), Pr at (0.3333, 0.6667, 0.0000) and Tl at (0.0000, 0.3287, 0.7500).

The calculation puts the magnetization at 0.0 μB/cell. As for the crystal system: hexagonal. The density of states at the Fermi level is 9.048 states/eV/f.u. The formation energy comes out at -267.1 kJ/mol of formula units.



Entry 5:
This record from Alexandria describes an optimized crystal structure of CaPr2Tl. The functional is PBE-GGA.

It has space group Cmcm (No. 63), with a = 4.674 Å, b = 12.036 Å, c = 10.017 Å, α = 90.00°, β = 90.00° and γ = 90.00°. The asymmetric unit holds Ca at (0.000, 0.058, 0.250), Pr at (0.000, 0.357, 0.045) and Tl at (0.000, 0.241, 0.750).

The calculation puts the magnetization at 0.0 μB/cell. As for the crystal system: orthorhombic. The density of states at the Fermi level is 5.022 states/eV/f.u. The formation energy comes out at -46.5 kJ/mol of formula units.



Entry 6:
This record from Alexandria describes an optimized crystal structure of Ca3Pr2Tl4. The functional is PBE-GGA.

It has space group Cmce (No. 64), with a = 7.103 Å, b = 19.210 Å, c = 8.392 Å, α = 90.00°, β = 90.00° and γ = 90.00°. The asymmetric unit holds Ca at (0.000, 0.000, 0.000), Ca at (0.250, 0.237, 0.250), Pr at (0.000, 0.091, 0.591), Tl at (0.000, 0.162, 0.965) and Tl at (0.250, 0.068, 0.250).

The calculation puts the magnetization at 0.0 μB/cell. As for the crystal system: orthorhombic. The density of states at the Fermi level is 6.303 states/eV/f.u. The formation energy comes out at -241.8 kJ/mol of formula units.



Entry 7:
This record from Alexandria describes an optimized crystal structure of CaPr8Tl6. The functional is PBE-GGA.

It has space group R-3 (No. 148, hexagonal axes), with a = 9.4883 Å, b = 9.4883 Å, c = 19.8972 Å, α = 90.00°, β = 90.00° and γ = 120.00°. The asymmetric unit holds Ca at (0.0000, 0.0000, 0.0000), Pr at (0.0000, 0.0000, 0.3357), Pr at (0.0001, 0.3341, 0.5568) and Tl at (0.0006, 0.6703, 0.9411).

The calculation puts the magnetization at 0.0 μB/cell. As for the crystal system: trigonal. The density of states at the Fermi level is 22.977 states/eV/f.u. The formation energy comes out at -272.7 kJ/mol of formula units.



Entry 8:
This record from Alexandria describes an optimized crystal structure of Ca2PrTl. The functional is PBE-GGA.

It has space group R-3m (No. 166, hexagonal axes), with a = 3.6652 Å, b = 3.6652 Å, c = 36.7068 Å, α = 90.00°, β = 90.00° and γ = 120.00°. The asymmetric unit holds Ca at (0.0000, 0.0000, 0.0975), Pr at (0.0000, 0.0000, 0.0000) and Tl at (0.0000, 0.0000, 0.5000).

The calculation puts the magnetization at 0.0 μB/cell. As for the crystal system: trigonal. The density of states at the Fermi level is 3.741 states/eV/f.u. The formation energy comes out at -0.9 kJ/mol of formula units.